1.
VASP calculation (PBE) on SiBr2F after structural relaxation.

Properties
uncorrected energy	-0.2845	Ry/atom
ΔE_f (raw)	-1.2113	eV per atom
symmetry	Pm, No. 6
mass density	2426	kg/m³

The structure in extended XYZ format:
```
4
Lattice="-0.4339 0.9847 5.0882 3.5065 -2.7951 0.8399 3.9903 4.1130 -2.9716" Properties=species:S:1:pos:R:3 pbc="T T T"
Si 3.2862 0.2552 -0.4797
Br 1.4768 -0.5207 4.4918
Br 1.6303 3.1090 3.5396
F 3.2756 0.7106 1.0800
```


2.
VASP calculation (PBE) on Cs2AuN2 after structural relaxation.

Properties
uncorrected energy	-0.3320	Ry/atom
ΔE_f (raw)	-0.1898	eV per atom
symmetry	P4/mbm, No. 127
mass density	5163	kg/m³

The structure in extended XYZ format:
```
10
Lattice="8.8031 0.0000 0.0000 0.0000 8.8031 0.0000 0.0000 0.0000 4.0737" Properties=species:S:1:pos:R:3 pbc="T T T"
N 0.4149 3.9866 0.0000
N 8.3882 4.8164 0.0000
N 3.9866 8.3882 0.0000
N 4.8164 0.4149 0.0000
Cs 6.4500 6.7546 2.0368
Cs 6.7546 2.3531 2.0368
Cs 2.0484 6.4500 2.0368
Cs 2.3531 2.0484 2.0368
Au 0.0000 0.0000 0.0000
Au 4.4015 4.4015 0.0000
```